No. 1
# BeFe2P (PBE-GGA, relaxed)
data_BeFe2P
_chemical_formula_sum 'Be1 Fe2 P1'
_cell_length_a 4.349
_cell_length_b 4.349
_cell_length_c 4.349
_cell_angle_alpha 135.17
_cell_angle_beta 135.17
_cell_angle_gamma 65.27
_space_group_name_H-M_alt 'P 1'
_space_group_IT_number 1
loop_
_space_group_symop_operation_xyz
'x,y,z'
loop_
_atom_site_label
_atom_site_type_symbol
_atom_site_fract_x
_atom_site_fract_y
_atom_site_fract_z
Be1 Be 0.750 0.250 0.500
P1 P 0.500 0.500 0.000
Fe1 Fe 0.000 0.000 0.000
Fe2 Fe 0.250 0.750 0.500
# polymorph energy (0 for the lowest one) = 0.239 eV/atom
# uncorrected energy = -26.879 eV per cell
# formation energy = -0.20 eV per atom
# SG = I-4m2 (119)

***

No. 2
# ZnCu2Pd8 (PBE-GGA, relaxed)
data_ZnCu2Pd8
_chemical_formula_sum 'Zn1 Cu2 Pd8'
_cell_length_a 4.570
_cell_length_b 6.529
_cell_length_c 6.529
_cell_angle_alpha 84.63
_cell_angle_beta 77.43
_cell_angle_gamma 77.43
_space_group_name_H-M_alt 'P 1'
_space_group_IT_number 1
loop_
_space_group_symop_operation_xyz
'x,y,z'
loop_
_atom_site_label
_atom_site_type_symbol
_atom_site_fract_x
_atom_site_fract_y
_atom_site_fract_z
Pd1 Pd 0.110 0.734 0.734
Pd2 Pd 0.196 0.330 0.847
Cu1 Cu 0.534 0.863 0.863
Pd3 Pd 0.701 0.579 0.579
Pd4 Pd 0.890 0.266 0.266
Pd5 Pd 0.299 0.421 0.421
Zn1 Zn 0.000 0.000 0.000
Pd6 Pd 0.804 0.153 0.670
Cu2 Cu 0.466 0.137 0.137
Pd7 Pd 0.804 0.670 0.153
Pd8 Pd 0.196 0.847 0.330
# polymorph energy (0 for the lowest one) = 0.259 eV/atom
# uncorrected energy = -49.095 eV per cell
# formation energy = 0.17 eV per atom
# SG = C2/m (12)

***

No. 3
# HfZr5Bi5 (PBE-GGA, relaxed)
data_HfZr5Bi5
_chemical_formula_sum 'Hf1 Zr5 Bi5'
_cell_length_a 5.719
_cell_length_b 6.879
_cell_length_c 8.739
_cell_angle_alpha 101.83
_cell_angle_beta 90.00
_cell_angle_gamma 114.56
_space_group_name_H-M_alt 'P 1'
_space_group_IT_number 1
loop_
_space_group_symop_operation_xyz
'x,y,z'
loop_
_atom_site_label
_atom_site_type_symbol
_atom_site_fract_x
_atom_site_fract_y
_atom_site_fract_z
Bi1 Bi 0.832 0.664 0.710
Zr1 Zr 0.421 0.842 0.323
Bi2 Bi 0.831 0.663 0.175
Bi3 Bi 0.169 0.337 0.825
Zr2 Zr 0.579 0.158 0.677
Zr3 Zr 0.311 0.623 0.606
Bi4 Bi 0.168 0.336 0.290
Zr4 Zr 0.689 0.377 0.394
Zr5 Zr 0.000 0.000 0.500
Hf1 Hf 0.000 0.000 0.000
Bi5 Bi 0.500 0.000 0.000
# uncorrected energy = -73.048 eV per cell
# formation energy = -0.09 eV per atom
# SG = C2/m (12)

***

No. 4
# Mg3ScNi (PBE-GGA, relaxed)
data_Mg3ScNi
_chemical_formula_sum 'Mg3 Sc1 Ni1'
_cell_length_a 4.767
_cell_length_b 4.767
_cell_length_c 4.767
_cell_angle_alpha 90.00
_cell_angle_beta 90.00
_cell_angle_gamma 90.00
_space_group_name_H-M_alt 'P 1'
_space_group_IT_number 1
loop_
_space_group_symop_operation_xyz
'x,y,z'
loop_
_atom_site_label
_atom_site_type_symbol
_atom_site_fract_x
_atom_site_fract_y
_atom_site_fract_z
Mg1 Mg 0.000 0.000 0.500
Mg2 Mg 0.000 0.500 0.000
Ni1 Ni 0.000 0.000 0.000
Mg3 Mg 0.500 0.000 0.000
Sc1 Sc 0.500 0.500 0.500
# polymorph energy (0 for the lowest one) = 0.000 eV/atom
# uncorrected energy = -16.320 eV per cell
# formation energy = 0.12 eV per atom
# SG = Pm-3m (221)

***

No. 5
# PmPrLuTl (PBE-GGA, relaxed)
data_PmPrLuTl
_chemical_formula_sum 'Pm1 Pr1 Lu1 Tl1'
_cell_length_a 5.562
_cell_length_b 5.562
_cell_length_c 5.562
_cell_angle_alpha 60.00
_cell_angle_beta 60.00
_cell_angle_gamma 60.00
_space_group_name_H-M_alt 'P 1'
_space_group_IT_number 1
loop_
_space_group_symop_operation_xyz
'x,y,z'
loop_
_atom_site_label
_atom_site_type_symbol
_atom_site_fract_x
_atom_site_fract_y
_atom_site_fract_z
Lu1 Lu 0.500 0.500 0.500
Pr1 Pr 0.250 0.250 0.250
Tl1 Tl 0.000 0.000 0.000
Pm1 Pm 0.750 0.750 0.750
# uncorrected energy = -16.719 eV per cell
# formation energy = -0.08 eV per atom
# SG = F-43m (216)

***

No. 6
# RbIn2Pb2Br7 (PBE-GGA, relaxed)
data_RbIn2Pb2Br7
_chemical_formula_sum 'Rb1 In2 Pb2 Br7'
_cell_length_a 5.349
_cell_length_b 7.096
_cell_length_c 13.803
_cell_angle_alpha 104.90
_cell_angle_beta 101.17
_cell_angle_gamma 90.00
_space_group_name_H-M_alt 'P 1'
_space_group_IT_number 1
loop_
_space_group_symop_operation_xyz
'x,y,z'
loop_
_atom_site_label
_atom_site_type_symbol
_atom_site_fract_x
_atom_site_fract_y
_atom_site_fract_z
Br1 Br 0.875 0.214 0.749
Br2 Br 0.276 0.418 0.551
In1 In 0.296 0.875 0.592
Br3 Br 0.125 0.465 0.251
Br4 Br 0.724 0.867 0.449
Br5 Br 0.415 0.833 0.831
In2 In 0.704 0.283 0.408
Br6 Br 0.585 0.002 0.169
Br7 Br 0.500 0.412 0.000
Pb1 Pb 0.611 0.637 0.222
Rb1 Rb 0.000 0.080 0.000
Pb2 Pb 0.389 0.415 0.778
# uncorrected energy = -36.878 eV per cell
# ΔE_f (raw) = -0.94 eV/atom
# SG = Imm2 (44)

***

No. 7
# ScReNi (PBE-GGA, relaxed)
data_ScReNi
_chemical_formula_sum 'Sc1 Re1 Ni1'
_cell_length_a 6.301
_cell_length_b 6.301
_cell_length_c 2.765
_cell_angle_alpha 77.33
_cell_angle_beta 77.32
_cell_angle_gamma 25.35
_space_group_name_H-M_alt 'P 1'
_space_group_IT_number 1
loop_
_space_group_symop_operation_xyz
'x,y,z'
loop_
_atom_site_label
_atom_site_type_symbol
_atom_site_fract_x
_atom_site_fract_y
_atom_site_fract_z
Sc1 Sc 0.663 0.663 0.337
Ni1 Ni 0.989 0.989 0.011
Re1 Re 0.349 0.349 0.651
# polymorph energy (0 for the lowest one) = 0.000 eV/atom
# uncorrected energy = -24.725 eV per cell
# formation energy = -0.05 eV per atom
# SG = I4mm (107)

***

No. 8
# NaAgHgPb (PBE-GGA, relaxed)
data_NaAgHgPb
_chemical_formula_sum 'Na1 Ag1 Hg1 Pb1'
_cell_length_a 5.171
_cell_length_b 5.171
_cell_length_c 5.171
_cell_angle_alpha 60.00
_cell_angle_beta 60.00
_cell_angle_gamma 60.00
_space_group_name_H-M_alt 'P 1'
_space_group_IT_number 1
loop_
_space_group_symop_operation_xyz
'x,y,z'
loop_
_atom_site_label
_atom_site_type_symbol
_atom_site_fract_x
_atom_site_fract_y
_atom_site_fract_z
Hg1 Hg 0.750 0.750 0.750
Na1 Na 0.500 0.500 0.500
Ag1 Ag 0.250 0.250 0.250
Pb1 Pb 0.000 0.000 0.000
# uncorrected energy = -8.396 eV per cell
# formation energy = -0.05 eV per atom
# SG = F-43m (216)